First-principles (PBE+U) data for an optimized crystal structure of CaWIO2, as listed in Alexandria.

Spin magnetization, μB/f.u.: 4.24
Relative energy among the computed polymorphs, meV per atom: 1085

a = 4.406 Å, b = 4.406 Å, c = 5.989 Å
α = 90.00°, β = 90.00°, γ = 90.00°
Element x y z (fractional)
Ca 0.000 0.000 0.000
W 0.500 0.500 0.500
I 0.000 0.000 0.500
O 0.000 0.500 0.000
O 0.500 0.000 0.000